(1)
Here is crystalline RbLiVSe3 at its relaxed geometry from Alexandria via LeMat-Bulk. Energies are from GGA-PBE.

abc: 7.4284 7.4284 6.9142
angles: 90.00 90.00 123.00
With the nearest neighbours (Å) after each atom.
Fractional positions:
Rb  0.2459  0.7541  0.7500  4 Se 3.46-3.55
Rb  0.7541  0.2459  0.2500  4 Se 3.46-3.55
Li  0.4351  0.5649  0.2500  5 Se 2.59-2.72
Li  0.5649  0.4351  0.7500  5 Se 2.59-2.72
V  0.0619  0.9381  0.2500  5 Se 2.28-2.51
V  0.9381  0.0619  0.7500  5 Se 2.28-2.51
Se  0.2290  0.2290  0.0000  2 V 2.51, 2 Li 2.72
Se  0.2290  0.2290  0.5000  2 V 2.51, 2 Li 2.72
Se  0.2366  0.7634  0.2500  1 V 2.28
Se  0.7634  0.2366  0.7500  1 V 2.28
Se  0.7710  0.7710  0.0000  2 V 2.51, 2 Li 2.72
Se  0.7710  0.7710  0.5000  2 V 2.51, 2 Li 2.72

Output
Density of states at the Fermi level ... 0.2 states/eV/f.u.
Magnetization ... 1.00 μB/f.u.
Calculated total energy ... -4.710 eV/atom
SG ... Cmcm (63)
Formation energy (no corrections) ... -0.968 eV per atom

---

(2)
Here is crystalline Rb2LiWSe4 at its relaxed geometry from Alexandria via LeMat-Bulk. Energies are from GGA-PBE.

abc: 14.3936 12.9295 7.6432
angles: 84.65 63.43 31.92
With the nearest neighbours (Å) after each atom.
Fractional positions:
Rb  0.0544  0.0544  0.6956  8 Se 3.62-3.83
Rb  0.3044  0.3044  0.9456  8 Se 3.62-3.83
Rb  0.6956  0.6956  0.0544  8 Se 3.62-3.83
Rb  0.9456  0.9456  0.3044  8 Se 3.62-3.83
Li  0.1250  0.1250  0.1250  4 Se 2.55
Li  0.8750  0.8750  0.8750  4 Se 2.55
W  0.3750  0.3750  0.3750  4 Se 2.39
W  0.6250  0.6250  0.6250  4 Se 2.39
Se  0.0066  0.3517  0.4409  1 W 2.39, 1 Li 2.55
Se  0.2991  0.5591  0.6483  1 W 2.39, 1 Li 2.55
Se  0.3517  0.0066  0.7009  1 W 2.39, 1 Li 2.55
Se  0.4409  0.7009  0.0066  1 W 2.39, 1 Li 2.55
Se  0.5591  0.2991  0.9934  1 W 2.39, 1 Li 2.55
Se  0.6483  0.9934  0.2991  1 W 2.39, 1 Li 2.55
Se  0.7009  0.4409  0.3517  1 W 2.39, 1 Li 2.55
Se  0.9934  0.6483  0.5591  1 W 2.39, 1 Li 2.55

Output
Density of states at the Fermi level ... 3.6 states/eV/f.u.
Magnetization ... 1.02 μB/f.u.
Calculated total energy ... -4.682 eV/atom
SG ... Fddd (70)
Formation energy (no corrections) ... -0.839 eV per atom

---

> What is the formula in the second record?

Rb2LiWSe4

---

> The highest calculated total energy belongs to which entry?

Rb2LiWSe4

---

Repeat the second record exactly.
Here is crystalline Rb2LiWSe4 at its relaxed geometry from Alexandria via LeMat-Bulk. Energies are from GGA-PBE.

abc: 14.3936 12.9295 7.6432
angles: 84.65 63.43 31.92
With the nearest neighbours (Å) after each atom.
Fractional positions:
Rb  0.0544  0.0544  0.6956  8 Se 3.62-3.83
Rb  0.3044  0.3044  0.9456  8 Se 3.62-3.83
Rb  0.6956  0.6956  0.0544  8 Se 3.62-3.83
Rb  0.9456  0.9456  0.3044  8 Se 3.62-3.83
Li  0.1250  0.1250  0.1250  4 Se 2.55
Li  0.8750  0.8750  0.8750  4 Se 2.55
W  0.3750  0.3750  0.3750  4 Se 2.39
W  0.6250  0.6250  0.6250  4 Se 2.39
Se  0.0066  0.3517  0.4409  1 W 2.39, 1 Li 2.55
Se  0.2991  0.5591  0.6483  1 W 2.39, 1 Li 2.55
Se  0.3517  0.0066  0.7009  1 W 2.39, 1 Li 2.55
Se  0.4409  0.7009  0.0066  1 W 2.39, 1 Li 2.55
Se  0.5591  0.2991  0.9934  1 W 2.39, 1 Li 2.55
Se  0.6483  0.9934  0.2991  1 W 2.39, 1 Li 2.55
Se  0.7009  0.4409  0.3517  1 W 2.39, 1 Li 2.55
Se  0.9934  0.6483  0.5591  1 W 2.39, 1 Li 2.55

Output
Density of states at the Fermi level ... 3.6 states/eV/f.u.
Magnetization ... 1.02 μB/f.u.
Calculated total energy ... -4.682 eV/atom
SG ... Fddd (70)
Formation energy (no corrections) ... -0.839 eV per atom

---

> What is the density of states at the Fermi level in the second record?

3.6 states/eV/f.u.